Entry from Alexandria: an optimized crystal structure of Ac2NiHgN (PBE).

Computed properties:
- E (eV/atom) = -5.103

POSCAR file:
```
Ac2NiHgN
1.0
-3.4762 2.1082 0.6048
-0.4209 -2.6229 6.7240
4.5752 7.6411 -0.3385
Hg Ac Ni N
2 4 2 2
direct
0.7500 0.3085 0.7075
0.2500 0.6915 0.2925
0.2500 0.2155 0.3870
0.7500 0.7874 0.0252
0.7500 0.7845 0.6130
0.2500 0.2126 0.9748
0.2500 0.5559 0.7515
0.7500 0.4441 0.2485
0.7500 0.1592 0.1730
0.2500 0.8408 0.8270
```

***

Entry from Alexandria: an optimized crystal structure of Ac5NiHg2N (PBE).

Computed properties:
- E (eV/atom) = -4.429

POSCAR file:
```
Ac5NiHg2N
1.0
4.2297 0.0000 0.0000
-2.1148 9.7722 0.0000
0.0000 0.0000 14.4700
Hg N Ni Ac
4 2 2 10
direct
0.8623 0.7246 0.8258
0.1124 0.2247 0.6878
0.8876 0.7753 0.1878
0.1377 0.2754 0.3258
0.4476 0.8952 0.4285
0.5524 0.1048 0.9285
0.2011 0.4022 0.0253
0.7989 0.5978 0.5253
0.9612 0.9225 0.5161
0.5065 0.0130 0.2847
0.3487 0.6974 0.0086
0.0388 0.0775 0.0161
0.6780 0.3559 0.8833
0.2885 0.5770 0.6638
0.7115 0.4230 0.1638
0.4935 0.9870 0.7847
0.6513 0.3026 0.5086
0.3220 0.6441 0.3833
```

***

In μB per formula unit, the size of the total moment values for the records above are, in order, 0.00, 0.00.